Model one:
AcPmIn4 | GGA-PBE | relaxed

Cell lengths 6.1983, 6.1983, 6.1983 Å; angles 60.00, 60.00, 60.00 degrees
With the nearest neighbours (Å) after each atom.
Atoms (fractional coordinates):
Ac (0.0000, 0.0000, 0.0000)  12 In 3.63, 4 Pm 3.80
Pm (0.7500, 0.7500, 0.7500)  12 In 3.63, 4 Ac 3.80
In (0.3753, 0.3753, 0.3753)  6 In 3.09-3.11
In (0.3753, 0.3753, 0.8742)  6 In 3.09-3.11
In (0.3753, 0.8742, 0.3753)  6 In 3.09-3.11
In (0.8742, 0.3753, 0.3753)  6 In 3.09-3.11

Output
Symmetry   F-43m (216)
Crystal system   cubic
DOS(E_F)   5.21 states/eV/f.u.



Model two:
AcPmIn4 | GGA-PBE | relaxed

Cell lengths 5.0782, 5.0782, 7.7281 Å; angles 90.00, 90.00, 120.00 degrees
With the nearest neighbours (Å) after each atom.
Atoms (fractional coordinates):
Ac (0.0000, 0.0000, 0.0000)  12 In 3.60, 2 Pm 3.86
Pm (0.0000, 0.0000, 0.5000)  12 In 3.43
In (0.3333, 0.6667, 0.2699)  3 In 2.93
In (0.3333, 0.6667, 0.7301)  3 In 2.93
In (0.6667, 0.3333, 0.2699)  3 In 2.93
In (0.6667, 0.3333, 0.7301)  3 In 2.93

Output
Symmetry   P6/mmm (191)
Crystal system   hexagonal
DOS(E_F)   3.41 states/eV/f.u.



The winner here is model two, beating the second structure by 4.5 kJ/mol of atoms.